No. 1
Material: K2RbUTe4
Method: DFT, PBE-GGA
State: relaxed

Uncorrected formation energy   -876.8 meV/atom
DOS at the Fermi energy   5.50 states/eV/f.u.
Symmetry   No. 10

abc: 8.5192 4.6839 8.7522
angles: 90.00 108.74 90.00
Atoms (fractional coordinates):
K 0.0000 0.0000 0.0000
K 0.0000 0.5000 0.5000
Rb 0.5000 0.0000 0.5000
U 0.5000 0.5000 0.0000
Te 0.2862 0.5000 0.2019
Te 0.2951 0.0000 0.8000
Te 0.7049 0.0000 0.2000
Te 0.7138 0.5000 0.7981

=====

No. 2
Material: CaRu2
Method: DFT, PBE-GGA
State: relaxed

DOS at the Fermi energy   4.34 states/eV/f.u.
Symmetry   No. 140
Electronic total energy   -5.72 eV/atom

abc: 5.3307 5.3307 5.3307
angles: 103.37 103.37 122.52
Atoms (fractional coordinates):
Ca 0.2500 0.2500 0.0000
Ca 0.7500 0.7500 0.0000
Ru 0.1243 0.6243 0.7486
Ru 0.3757 0.1243 0.5000
Ru 0.6243 0.8757 0.5000
Ru 0.8757 0.3757 0.2514

=====

No. 3
Material: La2PmIn2Hg2
Method: DFT, PBE-GGA
State: relaxed

DOS at the Fermi energy   4.14 states/eV/f.u.
Symmetry   No. 166
Electronic total energy   -3.29 eV/atom

abc: 9.7867 9.7867 9.7867
angles: 29.13 29.13 29.13
Atoms (fractional coordinates):
La 0.1371 0.1371 0.1371
La 0.8629 0.8629 0.8629
Pm 0.0000 0.0000 0.0000
In 0.2714 0.2714 0.2714
In 0.7286 0.7286 0.7286
Hg 0.4191 0.4191 0.4191
Hg 0.5809 0.5809 0.5809

=====

No. 4
Material: KTcRh2
Method: DFT, PBE-GGA
State: relaxed

Energy above the lowest structure with this stoichiometry   122 meV/atom
DOS at the Fermi energy   5.03 states/eV/f.u.
Symmetry   No. 166

abc: 10.0185 10.0185 10.0185
angles: 16.28 16.28 16.28
Atoms (fractional coordinates):
K 0.0000 0.0000 0.0000
Tc 0.5000 0.5000 0.5000
Rh 0.2367 0.2367 0.2367
Rh 0.7633 0.7633 0.7633

=====

No. 5
Material: TlTe2Pd
Method: DFT, PBE-GGA
State: relaxed

Uncorrected formation energy   91.7 meV/atom
Energy above the lowest structure with this stoichiometry   362 meV/atom
DOS at the Fermi energy   2.79 states/eV/f.u.
Symmetry   No. 166

abc: 11.5978 11.5978 11.5978
angles: 16.44 16.44 16.44
Atoms (fractional coordinates):
Tl 0.0000 0.0000 0.0000
Te 0.4250 0.4250 0.4250
Te 0.5750 0.5750 0.5750
Pd 0.5000 0.5000 0.5000

=====

No. 6
Material: RbMg3Cl
Method: DFT, PBE-GGA
State: relaxed

Uncorrected formation energy   575.4 meV/atom
Energy above the lowest structure with this stoichiometry   487 meV/atom
DOS at the Fermi energy   0.00 states/eV/f.u.
Symmetry   No. 221

abc: 7.1433 7.1433 7.1433
angles: 90.00 90.00 90.00
Atoms (fractional coordinates):
Rb 0.0000 0.0000 0.0000
Mg 0.0000 0.0000 0.5000
Mg 0.0000 0.5000 0.0000
Mg 0.5000 0.0000 0.0000
Cl 0.5000 0.5000 0.5000